The following is a PBE-GGA calculation of an optimized crystal structure of CoSbCI2, from Alexandria via LeMat-Bulk.

Output
magnetic moment: 2.30 μB/cell
E: -3.12 eV per atom
space-group type: No. 123
mass density: 6.37 g/cm3

```
5
Lattice="4.9577 0.0000 0.0000 0.0000 4.9577 0.0000 0.0000 0.0000 4.7365" Properties=species:S:1:pos:R:3 pbc="T T T"
Co 0.0000 0.0000 0.0000
Sb 2.4788 2.4788 0.0000
C 2.4788 2.4788 2.3682
I 0.0000 2.4788 2.3682
I 2.4788 0.0000 2.3682
```

The following is a PBE-GGA calculation of an optimized crystal structure of Ba2SrPb6, from Alexandria via LeMat-Bulk.

Output
magnetic moment: 0.00 μB/cell
formation energy: -0.3636 eV/atom
space-group type: No. 12
mass density: 7.87 g/cm3

```
9
Lattice="6.6991 -3.8591 0.0000 6.6991 3.8591 0.0000 -0.0036 0.0000 6.5489" Properties=species:S:1:pos:R:3 pbc="T T T"
Ba 2.2335 0.0000 1.0270
Ba 11.1610 0.0000 5.5218
Sr 6.6991 0.0000 0.0000
Pb 5.4298 2.1894 2.3076
Pb 4.1590 0.0000 4.2442
Pb 7.9647 2.1894 4.2412
Pb 5.4298 -2.1894 2.3076
Pb 9.2355 0.0000 2.3047
Pb 7.9647 -2.1894 4.2412
```

The following is a PBE-GGA calculation of an optimized crystal structure of BaY2AsSe, from Alexandria via LeMat-Bulk.

Output
magnetic moment: 0.00 μB/cell
E: -3.64 eV per atom
space-group type: No. 123
mass density: 3.89 g/cm3

```
5
Lattice="6.0380 0.0000 0.0000 0.0000 6.0380 0.0000 0.0000 0.0000 5.4901" Properties=species:S:1:pos:R:3 pbc="T T T"
Ba 0.0000 0.0000 0.0000
Y 0.0000 3.0190 0.0000
Y 3.0190 0.0000 0.0000
As 3.0190 3.0190 2.7450
Se 0.0000 0.0000 2.7450
```